Computed, not measured: a relaxed Tl3Cr5O12 crystal at the PBE with a Hubbard U level of DFT.

The structure in POSCAR format:
```
Tl3Cr5O12
1.0
-6.4355 6.4355 6.4355
6.4355 -6.4355 6.4355
6.4355 6.4355 -6.4355
Tl Cr O
12 20 48
Direct
0.1250 0.2500 0.3750
0.1250 0.3750 0.7500
0.2500 0.3750 0.1250
0.2500 0.8750 0.6250
0.3750 0.1250 0.2500
0.3750 0.7500 0.1250
0.6250 0.2500 0.8750
0.6250 0.8750 0.7500
0.7500 0.1250 0.3750
0.7500 0.6250 0.8750
0.8750 0.6250 0.2500
0.8750 0.7500 0.6250
0.0000 0.0000 0.0000
0.0000 0.0000 0.5000
0.0000 0.5000 0.0000
0.0000 0.5000 0.5000
0.1250 0.7500 0.8750
0.1250 0.8750 0.2500
0.2500 0.1250 0.8750
0.2500 0.6250 0.3750
0.3750 0.2500 0.6250
0.3750 0.6250 0.7500
0.5000 0.0000 0.0000
0.5000 0.0000 0.5000
0.5000 0.5000 0.0000
0.5000 0.5000 0.5000
0.6250 0.3750 0.2500
0.6250 0.7500 0.3750
0.7500 0.3750 0.6250
0.7500 0.8750 0.1250
0.8750 0.1250 0.7500
0.8750 0.2500 0.1250
0.0040 0.1895 0.1123
0.0040 0.3146 0.8917
0.0772 0.6895 0.6854
0.0772 0.8877 0.3917
0.1083 0.6123 0.4228
0.1083 0.9960 0.6854
0.1123 0.0040 0.1895
0.1123 0.6083 0.9228
0.1854 0.1895 0.5772
0.1854 0.4960 0.6083
0.1895 0.1123 0.0040
0.1895 0.5772 0.1854
0.3105 0.3146 0.9228
0.3105 0.4960 0.3877
0.3146 0.8917 0.0040
0.3146 0.9228 0.3105
0.3877 0.3105 0.4960
0.3877 0.5772 0.8917
0.3917 0.0772 0.8877
0.3917 0.8146 0.5040
0.4228 0.1083 0.6123
0.4228 0.8146 0.8105
0.4960 0.3877 0.3105
0.4960 0.6083 0.1854
0.5040 0.3917 0.8146
0.5040 0.6123 0.6895
0.5772 0.1854 0.1895
0.5772 0.8917 0.3877
0.6083 0.1854 0.4960
0.6083 0.9228 0.1123
0.6123 0.4228 0.1083
0.6123 0.6895 0.5040
0.6854 0.0772 0.6895
0.6854 0.1083 0.9960
0.6895 0.5040 0.6123
0.6895 0.6854 0.0772
0.8105 0.4228 0.8146
0.8105 0.8877 0.9960
0.8146 0.5040 0.3917
0.8146 0.8105 0.4228
0.8877 0.3917 0.0772
0.8877 0.9960 0.8105
0.8917 0.0040 0.3146
0.8917 0.3877 0.5772
0.9228 0.1123 0.6083
0.9228 0.3105 0.3146
0.9960 0.6854 0.1083
0.9960 0.8105 0.8877
```

- final energy (Ha/atom) = -0.239
- magnetization (μB/f.u.) = 10.4
- space-group type = Ia-3d, No. 230